VASP calculation (GGA-PBE) on an optimized crystal structure of Ca2Os2Pb.

Structure (CIF):
```
data_Ca2Os2Pb
_chemical_formula_sum 'Ca4 Os4 Pb2'
_cell_length_a 6.997
_cell_length_b 6.997
_cell_length_c 4.776
_cell_angle_alpha 90.00
_cell_angle_beta 90.00
_cell_angle_gamma 90.00
_symmetry_space_group_name_H-M 'P 4/m b m'
_symmetry_Int_Tables_number 127
_symmetry_space_group_name_Hall '-P 4 2ab'
loop_
_atom_site_label
_atom_site_fract_x
_atom_site_fract_y
_atom_site_fract_z
_atom_site_occupancy
Ca1 0.171 0.329 0.000 1
Os1 0.119 0.619 0.500 1
Pb1 0.000 0.000 0.500 1
```

Results
uncorrected energy: -5.81 eV per atom
magnetization: 0.00 μB per formula unit